(1)
Compound: ScCuGeRh
Source: Alexandria via LeMat-Bulk
Functional: GGA-PBE
Structure: optimized geometry

Values from the calculation:
ΔH_f (0 K): -2.2 eV per formula unit

The structure in POSCAR format:
```
ScCuGeRh
1.0
4.4188 0.0000 0.0000
2.2094 3.8268 0.0000
2.2094 1.2756 3.6079
Cu Sc Rh Ge
1 1 1 1
direct
0.0000 0.0000 0.0000
0.7500 0.7500 0.7500
0.5000 0.5000 0.5000
0.2500 0.2500 0.2500
```

(2)
Compound: Pm4HgSe3
Source: Alexandria via LeMat-Bulk
Functional: GGA-PBE
Structure: optimized geometry

Values from the calculation:
uncorrected formation energy: -1.5048 eV/atom

The structure in POSCAR format:
```
Pm4HgSe3
1.0
-4.5441 -2.7901 -2.8105
1.8266 -5.2721 2.2807
-2.1410 4.8951 5.0655
Se Hg Pm
3 1 4
direct
0.5000 0.5000 0.0000
0.2500 0.7500 0.5000
0.7500 0.2500 0.5000
0.0000 0.0000 0.0000
0.0000 0.5000 0.0000
0.5000 0.0000 0.0000
0.2567 0.2567 0.5135
0.7433 0.7433 0.4865
```

(3)
Compound: Y8CdCu2
Source: Alexandria via LeMat-Bulk
Functional: GGA-PBE
Structure: optimized geometry

Values from the calculation:
ΔH_f (0 K): -0.3 eV per formula unit

The structure in POSCAR format:
```
Y8CdCu2
1.0
-4.4976 -0.0685 -3.0432
5.1697 -2.9493 -5.4577
-2.3076 -5.2924 5.6459
Y Cd Cu
8 1 2
direct
0.5882 0.3339 0.0832
0.4113 0.6722 0.9229
0.4113 0.9229 0.6722
0.1945 0.3935 0.3935
0.8052 0.6128 0.6128
0.0000 0.7617 0.2439
0.0000 0.2439 0.7617
0.5882 0.0832 0.3339
0.9999 0.0031 0.0031
0.5005 0.6953 0.3115
0.5005 0.3115 0.6953
```

(4)
Compound: Cs8I4Br3
Source: Alexandria via LeMat-Bulk
Functional: GGA-PBE
Structure: optimized geometry

Values from the calculation:
uncorrected formation energy: -1.5147 eV/atom

The structure in POSCAR format:
```
Cs8I4Br3
1.0
9.5024 -0.2257 -5.2252
-6.1299 8.9192 -0.2768
-0.2347 0.1704 10.8222
Cs Br I
8 3 4
direct
0.0000 0.7478 0.2522
0.9885 0.7413 0.7413
0.5000 0.7447 0.2553
0.5046 0.2575 0.2575
0.5000 0.2553 0.7447
0.0115 0.2587 0.2587
0.0000 0.2522 0.7478
0.4954 0.7425 0.7425
0.5000 0.5000 0.0000
0.5000 0.0000 0.5000
0.5000 0.5000 0.5000
0.0000 0.5000 0.0000
0.5000 0.0000 0.0000
0.0000 0.0000 0.5000
0.0000 0.0000 0.0000
```

| no. | M_tot (μB per atom) |
| --- | --- |
| 1 | 0.0000 |
| 2 | 0.0000 |
| 3 | 0.1372 |
| 4 | 0.0591 |